Entry 1:
The following is a DFT calculation (PBE) of an optimized crystal structure of PmTeRh4.

Geometry as extended XYZ:
```
6
Lattice="0.000 3.790 3.790 3.790 0.000 3.790 3.790 3.790 0.000" Properties=species:S:1:pos:R:3 pbc="T T T"
Pm 0.000 0.000 0.000
Te 5.685 5.685 5.685
Rh 2.846 2.846 2.846
Rh 4.734 4.734 2.846
Rh 4.734 2.846 4.734
Rh 2.846 4.734 4.734
```

## Properties
space group = F-43m, No. 216
total moment = 0.00 μB/f.u.
E_tot = -39.01 eV/cell
formation energy without anion corrections = -0.29 eV per atom



Entry 2:
The following is a DFT calculation (PBE) of an optimized crystal structure of AlCd3Rh.

Geometry as extended XYZ:
```
5
Lattice="4.971 0.000 0.000 0.000 4.971 0.000 0.000 0.000 4.971" Properties=species:S:1:pos:R:3 pbc="T T T"
Al 0.000 0.000 0.000
Cd 0.000 0.000 2.485
Cd 0.000 2.485 0.000
Cd 2.485 0.000 0.000
Rh 2.485 2.485 2.485
```

## Properties
space group = Pm-3m, No. 221
total moment = 0.59 μB/f.u.
E_tot = -9.50 eV/cell
energy above the most stable polymorph in this dataset = 233.4 kJ/mol of formula units
energy of formation = 0.868 eV per atom



Entry 3:
The following is a DFT calculation (PBE) of an optimized crystal structure of Ba2FeBiB.

Geometry as extended XYZ:
```
5
Lattice="6.258 0.000 0.000 0.000 6.258 0.000 0.000 0.000 3.891" Properties=species:S:1:pos:R:3 pbc="T T T"
Ba 0.000 3.129 0.000
Ba 3.129 0.000 0.000
Fe 0.000 0.000 0.000
Bi 3.129 3.129 1.946
B 0.000 0.000 1.946
```

## Properties
space group = P4/mmm, No. 123
total moment = 1.59 μB/f.u.
E_tot = -21.89 eV/cell
energy of formation = 0.196 eV per atom



Entry 4:
The following is a DFT calculation (PBE) of an optimized crystal structure of BeP2Se.

Geometry as extended XYZ:
```
4
Lattice="-1.642 2.894 5.837 1.642 -2.894 5.837 1.642 2.894 -5.837" Properties=species:S:1:pos:R:3 pbc="T T T"
Be 0.000 0.000 0.000
P 1.642 0.000 2.203
P 0.000 0.000 3.609
Se 0.000 2.894 4.558
```

## Properties
space group = Imm2, No. 44
total moment = 0.00 μB/f.u.
E_tot = -16.99 eV/cell
formation energy without anion corrections = 0.26 eV per atom
energy above the most stable polymorph in this dataset = 204.9 kJ/mol of formula units



Q: What is the E_tot in the second record?
A: -9.50 eV/cell